Compound: HgRuAu4
Source: the Alexandria database
Functional: PBE
Structure: relaxed

Computed properties:
VASP energy ... -3.267 eV per atom
D(E_F) ... 1.123 states/eV per atom
Formation energy ... 0.514 eV/atom
Theoretical density ... 15.5 g cm⁻³

Cell: 7.760 7.760 7.760 Å, 90.00 90.00 90.00°
Space group F-43m (No. 216)
One atom of each set of equivalent atoms:
Hg 0.000 0.000 0.000
Ru 0.250 0.250 0.750
Au 0.125 0.125 0.375